1.
A geometry-optimized K2TeH6O6F2 structure. Source: Alexandria, functional PBEsol.

Space group: Pbca, No. 61
Crystal system: orthorhombic
E_tot: -4.97 eV per atom

Cell lengths 7.2251, 10.3270, 11.4513 Å; angles 90.00, 90.00, 90.00 degrees
Closest atoms and distances in Å follow each position.
Atoms (fractional coordinates):
1 K 0.7860 0.2754 0.7204  5 O 2.58-2.87, 1 H 2.74, 1 F 2.75
2 K 0.7140 0.7754 0.2796  5 O 2.58-2.87, 1 H 2.74, 1 F 2.75
3 K 0.2860 0.7246 0.7796  5 O 2.58-2.87, 1 H 2.74, 1 F 2.75
4 K 0.2140 0.2246 0.2204  5 O 2.58-2.87, 1 H 2.74, 1 F 2.75
5 K 0.2140 0.7246 0.2796  5 O 2.58-2.87, 1 H 2.74, 1 F 2.75
6 K 0.2860 0.2246 0.7204  5 O 2.58-2.87, 1 H 2.74, 1 F 2.75
7 K 0.7140 0.2754 0.2204  5 O 2.58-2.87, 1 H 2.74, 1 F 2.75
8 K 0.7860 0.7754 0.7796  5 O 2.58-2.87, 1 H 2.74, 1 F 2.75
9 Te 0.0000 0.5000 0.5000  4 O 1.83-1.97
10 Te 0.5000 0.0000 0.5000  4 O 1.83-1.97
11 Te 0.5000 0.5000 0.0000  4 O 1.83-1.97
12 Te 0.0000 0.0000 0.0000  4 O 1.83-1.97
13 H 0.9923 0.2861 0.4067  1 O 1.01
14 H 0.5077 0.7861 0.5933  1 O 1.01
15 H 0.4923 0.7139 0.0933  1 O 1.01
16 H 0.0077 0.2139 0.9067  1 O 1.01
17 H 0.0077 0.7139 0.5933  1 O 1.01
18 H 0.4923 0.2139 0.4067  1 O 1.01
19 H 0.5077 0.2861 0.9067  1 O 1.01
20 H 0.9923 0.7861 0.0933  1 O 1.01
21 H 0.1386 0.4578 0.9285  1 O 1.05
22 H 0.3614 0.9578 0.0715  1 O 1.05
23 H 0.6386 0.5422 0.5715  1 O 1.05
24 H 0.8614 0.0422 0.4285  1 O 1.05
25 H 0.8614 0.5422 0.0715  1 O 1.05
26 H 0.6386 0.0422 0.9285  1 O 1.05
27 H 0.3614 0.4578 0.4285  1 O 1.05
28 H 0.1386 0.9578 0.5715  1 O 1.05
29 H 0.6416 0.4181 0.4807  1 O 1.05
30 H 0.8584 0.9181 0.5193  1 O 1.05
31 H 0.1416 0.5819 0.0193  1 O 1.05
32 H 0.3584 0.0819 0.9807  1 O 1.05
33 H 0.3584 0.5819 0.5193  1 O 1.05
34 H 0.1416 0.0819 0.4807  1 O 1.05
35 H 0.8584 0.4181 0.9807  1 O 1.05
36 H 0.6416 0.9181 0.0193  1 O 1.05
37 O 0.0682 0.3688 0.5988  1 Te 1.83
38 O 0.4318 0.8688 0.4012  1 Te 1.83
39 O 0.5682 0.6312 0.9012  1 Te 1.83
40 O 0.9318 0.1312 0.0988  1 Te 1.83
41 O 0.9318 0.6312 0.4012  1 Te 1.83
42 O 0.5682 0.1312 0.5988  1 Te 1.83
43 O 0.4318 0.3688 0.0988  1 Te 1.83
44 O 0.0682 0.8688 0.9012  1 Te 1.83
45 O 0.7200 0.4627 0.5469  2 H 1.05
46 O 0.7800 0.9627 0.4531  2 H 1.05
47 O 0.2200 0.5373 0.9531  2 H 1.05
48 O 0.2800 0.0373 0.0469  2 H 1.05
49 O 0.2800 0.5373 0.4531  2 H 1.05
50 O 0.2200 0.0373 0.5469  2 H 1.05
51 O 0.7800 0.4627 0.0469  2 H 1.05
52 O 0.7200 0.9627 0.9531  2 H 1.05
53 O 0.9787 0.3745 0.3707  1 H 1.01
54 O 0.5213 0.8745 0.6293  1 H 1.01
55 O 0.4787 0.6255 0.1293  1 H 1.01
56 O 0.0213 0.1255 0.8707  1 H 1.01
57 O 0.0213 0.6255 0.6293  1 H 1.01
58 O 0.4787 0.1255 0.3707  1 H 1.01
59 O 0.5213 0.3745 0.8707  1 H 1.01
60 O 0.9787 0.8745 0.1293  1 H 1.01
61 F 0.4929 0.1299 0.9026  2 H 1.41-1.42
62 F 0.0071 0.6299 0.0974  2 H 1.41-1.42
63 F 0.9929 0.8701 0.5974  2 H 1.41-1.42
64 F 0.5071 0.3701 0.4026  2 H 1.41-1.42
65 F 0.5071 0.8701 0.0974  2 H 1.41-1.42
66 F 0.9929 0.3701 0.9026  2 H 1.41-1.42
67 F 0.0071 0.1299 0.4026  2 H 1.41-1.42
68 F 0.4929 0.6299 0.5974  2 H 1.41-1.42

=====

2.
A geometry-optimized K4Ti2H2O5F8 structure. Source: Alexandria, functional PBEsol.

Space group: C2/c, No. 15
Crystal system: monoclinic
E_tot: -5.77 eV per atom

Cell lengths 6.5605, 9.2128, 11.5246 Å; angles 72.08, 73.46, 69.14 degrees
Closest atoms and distances in Å follow each position.
Atoms (fractional coordinates):
1 K 0.0764 0.5158 0.8233  5 F 2.63-2.88, 2 O 2.73-2.84
2 K 0.4155 0.9842 0.6767  5 F 2.63-2.88, 2 O 2.73-2.84
3 K 0.9236 0.4842 0.1767  5 F 2.63-2.88, 2 O 2.73-2.84
4 K 0.5845 0.0158 0.3233  5 F 2.63-2.88, 2 O 2.73-2.84
5 K 0.1907 0.0224 0.1204  3 F 2.56-2.81, 4 O 2.69-2.86, 2 H 2.72-2.78
6 K 0.3334 0.4776 0.3796  3 F 2.56-2.81, 4 O 2.69-2.86, 2 H 2.72-2.78
7 K 0.8093 0.9776 0.8796  3 F 2.56-2.81, 4 O 2.69-2.86, 2 H 2.72-2.78
8 K 0.6666 0.5224 0.6204  3 F 2.56-2.81, 4 O 2.69-2.86, 2 H 2.72-2.78
9 Ti 0.0116 0.1862 0.4659  5 F 1.88-2.10, 2 O 1.90
10 Ti 0.6638 0.3138 0.0341  5 F 1.88-2.10, 2 O 1.90
11 Ti 0.9884 0.8138 0.5341  5 F 1.88-2.10, 2 O 1.90
12 Ti 0.3362 0.6862 0.9659  5 F 1.88-2.10, 2 O 1.90
13 H 0.3675 0.7790 0.3102  1 O 0.99
14 H 0.4568 0.7210 0.1898  1 O 0.99
15 H 0.6325 0.2210 0.6898  1 O 0.99
16 H 0.5432 0.2790 0.8102  1 O 0.99
17 O 0.4580 0.8574 0.9292  1 O 1.45
18 O 0.2446 0.6426 0.5708  1 O 1.45
19 O 0.5420 0.1426 0.0708  1 O 1.45
20 O 0.7554 0.3574 0.4292  1 O 1.45
21 O 0.2236 0.9127 0.9229  1 O 1.45
22 O 0.0592 0.5873 0.5771  1 O 1.45
23 O 0.7764 0.0873 0.0771  1 O 1.45
24 O 0.9408 0.4127 0.4229  1 O 1.45
25 O 0.5090 0.7500 0.2500  2 H 0.99
26 O 0.4910 0.2500 0.7500  2 H 0.99
27 F 0.2714 0.6672 0.1417  1 H 1.73, 1 Ti 1.91
28 F 0.0804 0.8328 0.3583  1 H 1.73, 1 Ti 1.91
29 F 0.7286 0.3328 0.8583  1 H 1.73, 1 Ti 1.91
30 F 0.9196 0.1672 0.6417  1 H 1.73, 1 Ti 1.91
31 F 0.0320 0.6964 0.9767  1 Ti 1.93
32 F 0.7050 0.8036 0.5233  1 Ti 1.93
33 F 0.9680 0.3036 0.0233  1 Ti 1.93
34 F 0.2950 0.1964 0.4767  1 Ti 1.93
35 F 0.4036 0.6634 0.8012  1 Ti 1.88
36 F 0.8682 0.8366 0.6988  1 Ti 1.88
37 F 0.5964 0.3366 0.1988  1 Ti 1.88
38 F 0.1318 0.1634 0.3012  1 Ti 1.88
39 F 0.6507 0.5557 0.9842  2 Ti 2.02-2.10
40 F 0.1906 0.9443 0.5158  2 Ti 2.02-2.10
41 F 0.3493 0.4443 0.0158  2 Ti 2.02-2.10
42 F 0.8094 0.0557 0.4842  2 Ti 2.02-2.10